Entry 1:
DySb4 (PBE-GGA, relaxed); E_form (uncorrected) = 2.639 eV/f.u.; density of states at the Fermi level = 6.3 states/eV per cell
1.0
5.7416 0.0000 0.0000
0.0000 5.7416 0.0000
0.0000 0.0000 5.7416
Dy Sb
1 4
direct
0.0000 0.0000 0.0000
0.0000 0.0000 0.5000
0.0000 0.5000 0.0000
0.5000 0.0000 0.0000
0.5000 0.5000 0.5000

Entry 2:
Pu2HfCd (PBE-GGA, relaxed); excess energy over the best structure of this formula in the dataset = 0.0 meV/atom; formation enthalpy at 0 K = 0.3 eV/f.u.; density of states at the Fermi level = 11.9 states/eV per cell
1.0
3.1416 0.0000 0.0000
0.0000 3.1416 0.0000
0.0000 0.0000 9.8433
Pu Hf Cd
2 1 1
direct
0.0000 0.0000 0.2428
0.0000 0.0000 0.7572
0.5000 0.5000 0.0000
0.5000 0.5000 0.5000

Entry 3:
Ho4TmGa4 (PBE-GGA, relaxed); formation enthalpy at 0 K = -3.3 eV/f.u.; density of states at the Fermi level = 12.3 states/eV per cell
1.0
8.9379 0.0000 0.0000
0.0000 8.9379 0.0000
0.0000 0.0000 5.9489
Ho Tm Ga
8 2 8
direct
0.0630 0.6603 0.1294
0.1603 0.9370 0.6294
0.3397 0.5630 0.6294
0.4370 0.8397 0.1294
0.5630 0.1603 0.8706
0.6603 0.4370 0.3706
0.8397 0.0630 0.3706
0.9370 0.3397 0.8706
0.2500 0.2500 0.2500
0.7500 0.7500 0.7500
0.0211 0.6213 0.6165
0.1213 0.9789 0.1165
0.3787 0.5211 0.1165
0.4789 0.8787 0.6165
0.5211 0.1213 0.3835
0.6213 0.4789 0.8835
0.8787 0.0211 0.8835
0.9789 0.3787 0.3835

The following calculated volume values (in Å³/atom) correspond, in order, to the records above: 37.86, 24.29, 26.40.